Computed, not measured: a relaxed structure of ZrBeRe2 at the PBE-GGA level of DFT.

Computed properties:
Energy = -36.664 eV for the cell shown
DFT formation energy = 12.2 kJ/mol of atoms

a b c (Å): 5.1537 5.1537 5.1537
angles (deg): 144.16 128.95 63.94
Positions (direct):
Re (0.0071, 0.0071, 0.0000)
Re (0.4929, 0.4929, 0.0000)
Zr (0.7500, 0.2500, 0.5000)
Be (0.2500, 0.7500, 0.5000)

***

Computed, not measured: a relaxed structure of ZrBeRe2 at the PBE-GGA level of DFT.

Computed properties:
Energy = -36.889 eV for the cell shown
DFT formation energy = 6.8 kJ/mol of atoms

a b c (Å): 2.7537 2.7537 8.1694
angles (deg): 90.00 90.00 107.24
Positions (direct):
Re (0.0000, 0.0000, 0.9595)
Re (0.0000, 0.0000, 0.5405)
Zr (0.5000, 0.5000, 0.2500)
Be (0.5000, 0.5000, 0.7500)

***

Computed, not measured: a relaxed structure of ZrBeRe2 at the PBE-GGA level of DFT.

Computed properties:
Energy = -36.733 eV for the cell shown
DFT formation energy = 10.6 kJ/mol of atoms

a b c (Å): 5.2213 5.2213 4.4789
angles (deg): 64.57 64.57 34.84
Positions (direct):
Re (0.0000, 0.0000, 0.9999)
Re (0.7320, 0.7320, 0.7679)
Zr (0.4948, 0.4948, 0.5052)
Be (0.2732, 0.2732, 0.2270)

***

Computed, not measured: a relaxed structure of ZrBe2Re at the PBE-GGA level of DFT.

Computed properties:
Energy = -53.328 eV for the cell shown
DFT formation energy = 43.1 kJ/mol of atoms
ΔE to the lowest computed polymorph = 0.6766 eV per atom

a b c (Å): 3.9694 3.9694 8.6585
angles (deg): 76.75 76.75 90.00
Positions (direct):
Re (0.0000, 0.0000, 0.0000)
Re (0.7500, 0.2500, 0.5000)
Zr (0.5000, 0.5000, 0.0000)
Zr (0.2500, 0.7500, 0.5000)
Be (0.8365, 0.1250, 0.2500)
Be (0.9135, 0.6250, 0.2500)
Be (0.3750, 0.1635, 0.7500)
Be (0.8750, 0.0865, 0.7500)

***

Computed, not measured: a relaxed structure of Zr2BeRe at the PBE-GGA level of DFT.

Computed properties:
Energy = -33.872 eV for the cell shown
DFT formation energy = -14.5 kJ/mol of atoms

a b c (Å): 4.5636 4.5637 3.3396
angles (deg): 90.01 90.01 89.96
Positions (direct):
Re (0.0000, 0.5000, 0.5000)
Zr (0.0000, 0.0000, 0.0000)
Zr (0.5000, 0.5000, 0.0000)
Be (0.5000, 0.0000, 0.5000)

***

Computed, not measured: a relaxed structure of ZrBe2Re at the PBE-GGA level of DFT.

Computed properties:
Energy = -28.844 eV for the cell shown
DFT formation energy = -9.5 kJ/mol of atoms
ΔE to the lowest computed polymorph = 0.1315 eV per atom

a b c (Å): 4.2695 4.2695 4.4957
angles (deg): 68.96 68.96 48.07
Positions (direct):
Re (0.2500, 0.2500, 0.2500)
Zr (0.7500, 0.7500, 0.7500)
Be (0.9803, 0.9803, 0.1124)
Be (0.5197, 0.5197, 0.3876)

***

Computed, not measured: a relaxed structure of ZrBe2Re at the PBE-GGA level of DFT.

Computed properties:
Energy = -28.168 eV for the cell shown
DFT formation energy = 6.8 kJ/mol of atoms
ΔE to the lowest computed polymorph = 0.3004 eV per atom

a b c (Å): 3.9887 3.9887 3.3921
angles (deg): 90.00 90.00 90.00
Positions (direct):
Re (0.5000, 0.0000, 0.5000)
Zr (0.0000, 0.5000, 0.5000)
Be (0.0000, 0.0000, 0.0000)
Be (0.5000, 0.5000, 0.0000)

***

Computed, not measured: a relaxed structure of Zr2BeRe at the PBE-GGA level of DFT.

Computed properties:
Energy = -32.634 eV for the cell shown
DFT formation energy = 15.4 kJ/mol of atoms

a b c (Å): 4.5662 4.5662 4.5662
angles (deg): 60.00 60.00 60.00
Positions (direct):
Re (0.7500, 0.7500, 0.7500)
Zr (0.0000, 0.0000, 0.0000)
Zr (0.2500, 0.2500, 0.2500)
Be (0.5000, 0.5000, 0.5000)